K2TeMo PBE optimized geometry; uncorrected formation energy = 0.412 eV/atom; density of states at the Fermi level = 0.0581 states/eV per atom; crystal system = orthorhombic
1.0
-2.5790 3.1372 5.0430
2.5790 -3.1372 5.0430
2.5790 3.1372 -5.0430
K Te Mo
2 1 1
direct
0.0000 0.0000 0.0000 K
0.6898 0.1898 0.5000 K
0.3793 0.3793 0.0000 Te
0.3019 0.8019 0.5000 Mo

---

HgIr2Au PBE optimized geometry; formation energy from the elements = 1.34 eV per formula unit; density of states at the Fermi level = 0.7138 states/eV per atom; crystal system = monoclinic
1.0
2.7930 0.0000 0.0000
0.0000 3.5925 0.0000
-0.0617 0.0000 7.0640
Hg Ir Au
1 2 1
direct
0.0000 0.0000 0.0000 Hg
0.0008 0.0000 0.4568 Ir
0.4966 0.5000 0.2810 Ir
0.5055 0.5000 0.7127 Au

---

LaCe4Th PBE optimized geometry; E above lowest polymorph = 0.127 eV/atom; formation energy from the elements = 1.05 eV per formula unit; density of states at the Fermi level = 3.1872 states/eV per atom; crystal system = cubic
1.0
0.0000 4.4389 4.4389
4.4389 0.0000 4.4389
4.4389 4.4389 0.0000
La Ce Th
1 4 1
direct
0.0000 0.0000 0.0000 La
0.3770 0.3770 0.3770 Ce
0.3770 0.3770 0.8689 Ce
0.3770 0.8689 0.3770 Ce
0.8689 0.3770 0.3770 Ce
0.7500 0.7500 0.7500 Th

---

EuSn3 PBE optimized geometry; formation energy from the elements = -1.91 eV per formula unit; density of states at the Fermi level = 0.4815 states/eV per atom; crystal system = cubic
1.0
4.7738 0.0000 0.0000
0.0000 4.7738 0.0000
0.0000 0.0000 4.7738
Eu Sn
1 3
direct
0.0000 0.0000 0.0000 Eu
0.0000 0.5000 0.5000 Sn
0.5000 0.0000 0.5000 Sn
0.5000 0.5000 0.0000 Sn

---

MgGeIN2 PBE optimized geometry; E above lowest polymorph = 0.000 eV/atom; uncorrected formation energy = 0.955 eV/atom; density of states at the Fermi level = 0.4760 states/eV per atom; crystal system = tetragonal
1.0
3.8769 0.0000 0.0000
0.0000 3.8769 0.0000
0.0000 0.0000 6.2617
Mg Ge I N
1 1 1 2
direct
0.0000 0.0000 0.0000 Mg
0.5000 0.5000 0.5000 Ge
0.5000 0.5000 0.0000 I
0.0000 0.5000 0.5000 N
0.5000 0.0000 0.5000 N

---

CuRe2Mo PBE optimized geometry; E above lowest polymorph = 0.115 eV/atom; formation energy from the elements = 1.16 eV per formula unit; density of states at the Fermi level = 0.9729 states/eV per atom; crystal system = tetragonal
1.0
3.2045 0.0000 0.0000
0.0000 3.2045 0.0000
0.0000 0.0000 5.6673
Cu Re Mo
1 2 1
direct
0.0000 0.0000 0.0000 Cu
0.0000 0.0000 0.5052 Re
0.5000 0.5000 0.7701 Re
0.5000 0.5000 0.2334 Mo

---

Q: Which of these has the highest density of states at the Fermi level?
A: LaCe4Th

---

Q: Which value of density of states at the Fermi level does entry 2 give?
A: 0.7138 states/eV per atom

---

Q: The highest density of states at the Fermi level belongs to which entry?
A: LaCe4Th

---

Q: The lowest density of states at the Fermi level belongs to which entry?
A: K2TeMo